one) A geometry-optimized FeIrAu structure, computed with GGA-PBEsol.

a = 2.691 Å, b = 2.691 Å, c = 6.985 Å
α = 95.91°, β = 95.91°, γ = 117.76°
Last column: magnetic moment on the atom in μB.
Sites, in units of the cell vectors:
Fe  0.672  0.672  0.344  2.87
Au  0.006  0.006  0.011  0.05
Ir  0.323  0.323  0.645  0.41

two) A geometry-optimized FeIrAu structure, computed with GGA-PBEsol.

a = 4.203 Å, b = 4.203 Å, c = 4.203 Å
α = 60.00°, β = 60.00°, γ = 60.00°
Last column: magnetic moment on the atom in μB.
Sites, in units of the cell vectors:
Fe  0.000  0.000  0.000  3.19
Au  0.250  0.250  0.250  0.14
Ir  0.500  0.500  0.500  0.66

three) A geometry-optimized FeIrAu structure, computed with GGA-PBEsol.

a = 2.704 Å, b = 4.316 Å, c = 4.316 Å
α = 120.00°, β = 90.00°, γ = 90.00°
Last column: magnetic moment on the atom in μB.
Sites, in units of the cell vectors:
Fe  0.632  0.333  0.667  2.95
Au  0.955  0.000  0.000  0.04
Ir  0.413  0.667  0.333  0.73

If we sort the structures by their calculated energies, the order from most to least stable is one), three), two).

one) A geometry-optimized Fe2IrAu structure, computed with GGA-PBEsol.

a = 2.676 Å, b = 4.042 Å, c = 5.130 Å
α = 90.00°, β = 105.13°, γ = 90.00°
Last column: magnetic moment on the atom in μB.
Sites, in units of the cell vectors:
Ir  0.539  0.000  0.454  0.11
Fe  0.815  0.000  0.004  2.52
Fe  0.943  0.500  0.262  2.34
Au  0.203  0.500  0.781  0.11

two) A geometry-optimized Fe2IrAu structure, computed with GGA-PBEsol.

a = 2.701 Å, b = 3.691 Å, c = 5.445 Å
α = 90.00°, β = 90.00°, γ = 90.00°
Last column: magnetic moment on the atom in μB.
Sites, in units of the cell vectors:
Au  0.500  0.500  0.500  0.10
Fe  0.000  0.000  0.224  2.61
Fe  0.000  0.000  0.776  2.61
Ir  0.500  0.500  0.000  0.29

If we sort the structures by their calculated energies, the order from most to least stable is two), one).

one) A geometry-optimized FeMoAu2 structure, computed with GGA-PBEsol.

a = 4.416 Å, b = 4.416 Å, c = 4.416 Å
α = 60.00°, β = 60.00°, γ = 60.00°
Last column: magnetic moment on the atom in μB.
Sites, in units of the cell vectors:
Fe  0.500  0.500  0.500  2.57
Au  0.750  0.750  0.750  0.03
Au  0.000  0.000  0.000  -0.03
Mo  0.250  0.250  0.250  -0.66

two) A geometry-optimized FeMoAu2 structure, computed with GGA-PBEsol.

a = 4.435 Å, b = 4.435 Å, c = 4.435 Å
α = 60.00°, β = 60.00°, γ = 60.00°
Last column: magnetic moment on the atom in μB.
Sites, in units of the cell vectors:
Au  0.750  0.750  0.750  -0.04
Au  0.250  0.250  0.250  -0.04
Fe  0.000  0.000  0.000  2.73
Mo  0.500  0.500  0.500  -0.90

If we sort the structures by their calculated energies, the order from most to least stable is one), two).

one) A geometry-optimized FeMoAu2 structure, computed with GGA-PBEsol.

a = 2.721 Å, b = 4.834 Å, c = 4.851 Å
α = 98.94°, β = 90.00°, γ = 106.34°
Last column: magnetic moment on the atom in μB.
Sites, in units of the cell vectors:
Au  0.748  0.496  0.747  -0.03
Au  0.252  0.504  0.253  -0.03
Fe  0.000  0.000  0.500  2.44
Mo  0.500  0.000  0.000  -0.41

two) A geometry-optimized FeMoAu2 structure, computed with GGA-PBEsol.

a = 2.977 Å, b = 4.556 Å, c = 5.237 Å
α = 115.79°, β = 106.52°, γ = 90.00°
Last column: magnetic moment on the atom in μB.
Sites, in units of the cell vectors:
Au  0.994  0.994  0.987  -0.03
Au  0.775  0.275  0.550  -0.01
Mo  0.213  0.713  0.427  -0.35
Fe  0.518  0.518  0.036  1.61

If we sort the structures by their calculated energies, the order from most to least stable is two), one).

one) A geometry-optimized FeOsAu structure, computed with GGA-PBEsol.

a = 2.705 Å, b = 3.585 Å, c = 4.813 Å
α = 111.86°, β = 106.32°, γ = 90.00°
Sites, in units of the cell vectors:
Fe  0.686  0.686  0.373
Au  0.002  0.002  0.004
Os  0.312  0.312  0.623

two) A geometry-optimized FeOsAu structure, computed with GGA-PBEsol.

a = 2.709 Å, b = 2.709 Å, c = 5.962 Å
α = 103.13°, β = 103.13°, γ = 90.00°
Last column: magnetic moment on the atom in μB.
Sites, in units of the cell vectors:
Fe  0.319  0.319  0.638  0.97
Os  0.686  0.686  0.373  -0.12
Au  0.995  0.995  0.989  0.02

If we sort the structures by their calculated energies, the order from most to least stable is two), one).

one) A geometry-optimized FeP2Au structure, computed with GGA-PBEsol.

a = 3.773 Å, b = 3.780 Å, c = 4.856 Å
α = 111.83°, β = 111.78°, γ = 92.57°
Last column: magnetic moment on the atom in μB.
Sites, in units of the cell vectors:
Au  0.500  0.000  0.000  0.02
P  0.000  0.000  0.500  0.00
P  0.500  0.500  0.500  0.00
Fe  0.000  0.500  0.000  2.38

two) A geometry-optimized FeP2Au structure, computed with GGA-PBEsol.

a = 2.709 Å, b = 2.709 Å, c = 7.678 Å
α = 90.00°, β = 90.00°, γ = 90.00°
Last column: magnetic moment on the atom in μB.
Sites, in units of the cell vectors:
P  0.000  0.000  0.679  -0.01
P  0.000  0.000  0.321  -0.01
Au  0.500  0.500  0.000  0.01
Fe  0.500  0.500  0.500  0.71

three) A geometry-optimized FeP2Au structure, computed with GGA-PBEsol.

a = 2.715 Å, b = 2.832 Å, c = 7.358 Å
α = 90.00°, β = 90.00°, γ = 90.00°
Sites, in units of the cell vectors:
P  0.000  0.000  0.183
P  0.000  0.500  0.786
Fe  0.500  0.500  0.023
Au  0.000  0.000  0.508

If we sort the structures by their calculated energies, the order from most to least stable is three), two), one).

one) A geometry-optimized Fe2PtAu structure, computed with GGA-PBEsol.

a = 3.814 Å, b = 3.814 Å, c = 4.663 Å
α = 114.14°, β = 114.14°, γ = 90.00°
Last column: magnetic moment on the atom in μB.
Sites, in units of the cell vectors:
Fe  0.750  0.250  0.500  2.90
Fe  0.250  0.750  0.500  2.90
Au  0.000  0.000  0.000  0.13
Pt  0.500  0.500  0.000  0.36

two) A geometry-optimized Fe2PtAu structure, computed with GGA-PBEsol.

a = 2.698 Å, b = 2.698 Å, c = 7.612 Å
α = 90.00°, β = 90.00°, γ = 90.00°
Last column: magnetic moment on the atom in μB.
Sites, in units of the cell vectors:
Fe  0.000  0.000  0.241  2.86
Fe  0.000  0.000  0.759  2.86
Au  0.500  0.500  0.500  0.07
Pt  0.500  0.500  0.000  0.33

three) A geometry-optimized Fe2PtAu structure, computed with GGA-PBEsol.

a = 2.910 Å, b = 2.910 Å, c = 6.504 Å
α = 90.00°, β = 90.00°, γ = 90.00°
Last column: magnetic moment on the atom in μB.
Sites, in units of the cell vectors:
Fe  0.000  0.000  0.029  2.72
Fe  0.500  0.500  0.231  2.76
Pt  0.000  0.000  0.468  0.31
Au  0.500  0.500  0.773  0.06

If we sort the structures by their calculated energies, the order from most to least stable is two), one), three).